HIrNF2 PBE optimized geometry; offset from the most stable computed form = 0 meV per atom; spin magnetization = 0.07 μB per atom; E = -4.7218 eV/atom
1.0
4.1978 0.0000 0.0000
0.0000 4.1978 0.0000
0.0000 0.0000 3.6915
H Ir N F
1 1 1 2
Cartesian
0.0000 0.0000 0.0000
2.0989 2.0989 1.8458
2.0989 2.0989 0.0000
0.0000 2.0989 1.8458
2.0989 0.0000 1.8458